A plane-wave DFT calculation with GGA-PBE was carried out for a relaxed NdErAs2 crystal.

abc: 4.1826 4.1826 20.4333
angles: 90.00 90.00 120.00
Space group R-3m (No. 166, hexagonal axes)
Unique sites:
Nd: 0.0000 0.0000 0.0000 [3 per cell]
Er: 0.0000 0.0000 0.5000 [3 per cell]
As: 0.0000 0.0000 0.2461 [6 per cell]

Properties
- E_form (eV/atom) = -1.51
- theoretical density (g cm⁻³) = 7.424
- distance to the lowest polymorph of the same formula (meV per atom) = 0



A plane-wave DFT calculation with GGA-PBE was carried out for a relaxed NdErNi2As2 crystal.

abc: 4.0804 4.0804 7.8616
angles: 90.00 90.00 120.00
Space group P-3m1 (No. 164)
Unique sites:
Nd: 0.0000 0.0000 0.0000 [1 per cell]
Er: 0.0000 0.0000 0.5000 [1 per cell]
Ni: 0.3333 0.6667 0.7381 [2 per cell]
As: 0.3333 0.6667 0.2607 [2 per cell]

Properties
- E_form (eV/atom) = -1.04
- theoretical density (g cm⁻³) = 8.478



A plane-wave DFT calculation with GGA-PBE was carried out for a relaxed Nd2ErNpAs4 crystal.

abc: 7.233 4.177 7.247
angles: 90.00 109.31 90.00
Space group P2/m (No. 10)
Unique sites:
Nd: 0.000 0.000 0.000 [1 per cell]
Nd: 0.500 0.500 0.000 [1 per cell]
Er: 0.000 0.500 0.500 [1 per cell]
Np: 0.500 0.000 0.500 [1 per cell]
As: 0.247 0.000 0.737 [2 per cell]
As: 0.255 0.500 0.263 [2 per cell]

Properties
- E_form (eV/atom) = -1.29
- theoretical density (g cm⁻³) = 7.977



A plane-wave DFT calculation with GGA-PBE was carried out for a relaxed NdErNp2As4 crystal.

abc: 7.180 4.121 7.181
angles: 90.00 109.25 90.00
Space group P2/m (No. 10)
Unique sites:
Nd: 0.000 0.000 0.000 [1 per cell]
Er: 0.500 0.500 0.000 [1 per cell]
Np: 0.000 0.500 0.500 [1 per cell]
Np: 0.500 0.000 0.500 [1 per cell]
As: 0.255 0.000 0.746 [2 per cell]
As: 0.259 0.500 0.259 [2 per cell]

Properties
- E_form (eV/atom) = -1.06
- theoretical density (g cm⁻³) = 8.984



A plane-wave DFT calculation with GGA-PBE was carried out for a relaxed NdEr2NpAs4 crystal.

abc: 7.154 4.132 7.170
angles: 90.00 109.35 90.00
Space group P2/m (No. 10)
Unique sites:
Nd: 0.000 0.000 0.000 [1 per cell]
Er: 0.500 0.000 0.500 [1 per cell]
Er: 0.500 0.500 0.000 [1 per cell]
Np: 0.000 0.500 0.500 [1 per cell]
As: 0.254 0.000 0.746 [2 per cell]
As: 0.257 0.500 0.259 [2 per cell]

Properties
- E_form (eV/atom) = -1.29
- theoretical density (g cm⁻³) = 8.432



A plane-wave DFT calculation with GGA-PBE was carried out for a relaxed NdErAs2O8 crystal.

abc: 5.095 5.095 11.498
angles: 90.00 90.00 90.00
Space group I-4 (No. 82)
Unique sites:
Nd: 0.000 0.000 0.000 [2 per cell]
Er: 0.000 0.500 0.750 [2 per cell]
As: 0.000 0.000 0.500 [2 per cell]
As: 0.000 0.500 0.250 [2 per cell]
O: 0.138 0.251 0.581 [8 per cell]
O: 0.152 0.751 0.174 [8 per cell]

Properties
- energy relative to the elements, uncorrected (eV per atom) = -2.331
- theoretical density (g cm⁻³) = 6.558



A plane-wave DFT calculation with GGA-PBE was carried out for a relaxed NdErAsP crystal.

abc: 4.136 4.136 5.824
angles: 90.00 90.00 90.00
Space group P4/mmm (No. 123)
Unique sites:
Nd: 0.000 0.000 0.000 [1 per cell]
Er: 0.500 0.500 0.500 [1 per cell]
As: 0.500 0.500 0.000 [1 per cell]
P: 0.000 0.000 0.500 [1 per cell]

Properties
- E_form (eV/atom) = -1.50
- theoretical density (g cm⁻³) = 6.956



A plane-wave DFT calculation with GGA-PBE was carried out for a relaxed Nd2ErPaAs5 crystal.

abc: 5.094 5.094 10.870
angles: 90.00 90.00 90.00
Space group P4/mmm (No. 123)
Unique sites:
Nd: 0.000 0.000 0.227 [2 per cell]
Er: 0.500 0.500 0.500 [1 per cell]
Pa: 0.500 0.500 0.000 [1 per cell]
As: 0.000 0.000 0.500 [1 per cell]
As: 0.000 0.500 0.000 [2 per cell]
As: 0.500 0.500 0.254 [2 per cell]

Properties
- E_form (eV/atom) = -0.60
- theoretical density (g cm⁻³) = 6.248



A plane-wave DFT calculation with GGA-PBE was carried out for a relaxed NdErPa2As4 crystal.

abc: 7.153 4.130 7.156
angles: 90.00 109.46 90.00
Space group P2/m (No. 10)
Unique sites:
Nd: 0.000 0.000 0.000 [1 per cell]
Er: 0.000 0.500 0.500 [1 per cell]
Pa: 0.500 0.000 0.500 [1 per cell]
Pa: 0.500 0.500 0.000 [1 per cell]
As: 0.254 0.000 0.746 [2 per cell]
As: 0.259 0.500 0.258 [2 per cell]

Properties
- E_form (eV/atom) = -1.27
- theoretical density (g cm⁻³) = 8.941



A plane-wave DFT calculation with GGA-PBE was carried out for a relaxed Nd4Er3PaAs8 crystal.

abc: 8.3379 8.3379 20.5071
angles: 90.00 90.00 120.00
Space group R-3m (No. 166, hexagonal axes)
Unique sites:
Nd: 0.0000 0.0000 0.0000 [3 per cell]
Nd: 0.0000 0.5000 0.0000 [9 per cell]
Er: 0.0000 0.5000 0.5000 [9 per cell]
Pa: 0.0000 0.0000 0.5000 [3 per cell]
As: 0.0000 0.0000 0.2460 [6 per cell]
As: 0.0028 0.5014 0.2453 [18 per cell]

Properties
- E_form (eV/atom) = -1.46
- theoretical density (g cm⁻³) = 7.703



A plane-wave DFT calculation with GGA-PBE was carried out for a relaxed PmNdEr2As4 crystal.

abc: 7.216 4.173 7.224
angles: 90.00 109.49 90.00
Space group P2/m (No. 10)
Unique sites:
Pm: 0.000 0.000 0.000 [1 per cell]
Nd: 0.000 0.500 0.500 [1 per cell]
Er: 0.500 0.000 0.500 [1 per cell]
Er: 0.500 0.500 0.000 [1 per cell]
As: 0.260 0.500 0.253 [2 per cell]
As: 0.261 0.000 0.755 [2 per cell]

Properties
- E_form (eV/atom) = -1.51
- theoretical density (g cm⁻³) = 7.476



A plane-wave DFT calculation with GGA-PBE was carried out for a relaxed Pm2NdErAs4 crystal.

abc: 7.288 4.212 7.289
angles: 90.00 109.47 90.00
Space group P2/m (No. 10)
Unique sites:
Pm: 0.000 0.000 0.000 [1 per cell]
Pm: 0.500 0.500 0.000 [1 per cell]
Nd: 0.000 0.500 0.500 [1 per cell]
Er: 0.500 0.000 0.500 [1 per cell]
As: 0.255 0.000 0.748 [2 per cell]
As: 0.257 0.500 0.256 [2 per cell]

Properties
- E_form (eV/atom) = -1.51
- theoretical density (g cm⁻³) = 7.093



A plane-wave DFT calculation with GGA-PBE was carried out for a relaxed PrNdEr2As4 crystal.

abc: 7.246 4.191 7.255
angles: 90.00 109.49 90.00
Space group P2/m (No. 10)
Unique sites:
Pr: 0.000 0.000 0.000 [1 per cell]
Nd: 0.000 0.500 0.500 [1 per cell]
Er: 0.500 0.000 0.500 [1 per cell]
Er: 0.500 0.500 0.000 [1 per cell]
As: 0.262 0.000 0.753 [2 per cell]
As: 0.263 0.500 0.255 [2 per cell]

Properties
- E_form (eV/atom) = -1.50
- theoretical density (g cm⁻³) = 7.350



A plane-wave DFT calculation with GGA-PBE was carried out for a relaxed PrNd2Er3As6 crystal.

abc: 18.228 4.188 8.363
angles: 90.00 103.16 90.00
Space group C2/m (No. 12)
Unique sites:
Pr: 0.000 0.000 0.000 [2 per cell]
Nd: 0.167 0.500 0.333 [4 per cell]
Er: 0.000 0.000 0.500 [2 per cell]
Er: 0.167 0.500 0.833 [4 per cell]
As: 0.003 0.500 0.742 [4 per cell]
As: 0.164 0.000 0.590 [4 per cell]
As: 0.170 0.000 0.077 [4 per cell]

Properties
- E_form (eV/atom) = -1.50
- theoretical density (g cm⁻³) = 7.377



A plane-wave DFT calculation with GGA-PBE was carried out for a relaxed PrNd3Er2As6 crystal.

abc: 7.306 12.653 7.304
angles: 90.00 109.48 90.00
Space group C2/m (No. 12)
Unique sites:
Pr: 0.000 0.000 0.000 [2 per cell]
Nd: 0.000 0.165 0.500 [4 per cell]
Nd: 0.000 0.500 0.500 [2 per cell]
Er: 0.000 0.333 0.000 [4 per cell]
As: 0.240 0.500 0.242 [4 per cell]
As: 0.248 0.330 0.757 [8 per cell]

Properties
- E_form (eV/atom) = -1.50
- theoretical density (g cm⁻³) = 7.083



A plane-wave DFT calculation with GGA-PBE was carried out for a relaxed Pr2NdEr3As6 crystal.

abc: 18.254 4.194 8.375
angles: 90.00 103.16 90.00
Space group C2/m (No. 12)
Unique sites:
Pr: 0.166 0.000 0.333 [4 per cell]
Nd: 0.000 0.500 0.000 [2 per cell]
Er: 0.000 0.500 0.500 [2 per cell]
Er: 0.167 0.000 0.833 [4 per cell]
As: 0.003 0.000 0.744 [4 per cell]
As: 0.164 0.500 0.591 [4 per cell]
As: 0.169 0.500 0.075 [4 per cell]

Properties
- E_form (eV/atom) = -1.50
- theoretical density (g cm⁻³) = 7.327



A plane-wave DFT calculation with GGA-PBE was carried out for a relaxed PrNd2ErAs4 crystal.

abc: 7.335 4.240 7.335
angles: 90.00 109.47 90.00
Space group P2/m (No. 10)
Unique sites:
Pr: 0.000 0.000 0.000 [1 per cell]
Nd: 0.000 0.500 0.500 [1 per cell]
Nd: 0.500 0.000 0.500 [1 per cell]
Er: 0.500 0.500 0.000 [1 per cell]
As: 0.255 0.500 0.247 [2 per cell]
As: 0.258 0.000 0.757 [2 per cell]

Properties
- E_form (eV/atom) = -1.50
- theoretical density (g cm⁻³) = 6.921



A plane-wave DFT calculation with GGA-PBE was carried out for a relaxed NdEr2PuAs4 crystal.

abc: 7.164 4.151 7.178
angles: 90.00 109.49 90.00
Space group P2/m (No. 10)
Unique sites:
Nd: 0.000 0.000 0.000 [1 per cell]
Er: 0.500 0.000 0.500 [1 per cell]
Er: 0.500 0.500 0.000 [1 per cell]
Pu: 0.000 0.500 0.500 [1 per cell]
As: 0.255 0.000 0.747 [2 per cell]
As: 0.258 0.500 0.258 [2 per cell]

Properties
- E_form (eV/atom) = -1.38
- theoretical density (g cm⁻³) = 8.436



A plane-wave DFT calculation with GGA-PBE was carried out for a relaxed NdErAs2Rh5 crystal.

abc: 4.271 4.271 8.812
angles: 90.00 90.00 90.00
Space group P4/mmm (No. 123)
Unique sites:
Nd: 0.000 0.000 0.000 [1 per cell]
Er: 0.000 0.000 0.500 [1 per cell]
As: 0.500 0.500 0.355 [2 per cell]
Rh: 0.000 0.500 0.239 [4 per cell]
Rh: 0.500 0.500 0.000 [1 per cell]

Properties
- E_form (eV/atom) = -0.73
- theoretical density (g cm⁻³) = 10.081



A plane-wave DFT calculation with GGA-PBE was carried out for a relaxed Nd2ErAs3Rh4 crystal.

abc: 4.134 4.134 11.406
angles: 90.00 90.00 90.00
Space group P-4m2 (No. 115)
Unique sites:
Nd: 0.000 0.500 0.226 [2 per cell]
Er: 0.000 0.000 0.500 [1 per cell]
As: 0.000 0.500 0.872 [2 per cell]
As: 0.500 0.500 0.500 [1 per cell]
Rh: 0.000 0.000 0.000 [1 per cell]
Rh: 0.000 0.500 0.658 [2 per cell]
Rh: 0.500 0.500 0.000 [1 per cell]

Properties
- E_form (eV/atom) = -0.97
- theoretical density (g cm⁻³) = 9.305